Entry 1:
Ca2SiBi2 | PBE | optimized geometry

Cell lengths 7.991, 7.991, 4.651 Å; angles 90.00, 90.00, 90.00 degrees
Fractional coordinates of all 10 atoms:
1 Ca 0.168 0.332 0.000
2 Ca 0.332 0.832 0.000
3 Ca 0.668 0.168 0.000
4 Ca 0.832 0.668 0.000
5 Si 0.000 0.000 0.500
6 Si 0.500 0.500 0.500
7 Bi 0.142 0.642 0.500
8 Bi 0.358 0.142 0.500
9 Bi 0.642 0.858 0.500
10 Bi 0.858 0.358 0.500

Results
The space-group type is No. 127. The energy comes out at -37.503 eV/cell.

---

Entry 2:
KTb3Pm2Te6 | PBE | optimized geometry

Cell lengths 10.044, 10.044, 9.093 Å; angles 103.86, 103.86, 25.38 degrees
Fractional coordinates of all 12 atoms:
1 K 0.000 0.000 0.000
2 Tb 0.000 0.000 0.500
3 Tb 0.337 0.337 0.176
4 Tb 0.663 0.663 0.824
5 Pm 0.328 0.328 0.653
6 Pm 0.672 0.672 0.347
7 Te 0.163 0.163 0.589
8 Te 0.174 0.174 0.082
9 Te 0.499 0.499 0.734
10 Te 0.501 0.501 0.266
11 Te 0.826 0.826 0.918
12 Te 0.837 0.837 0.411

Results
The space-group type is No. 12. The energy comes out at -59.601 eV/cell.

---

Entry 3:
BaTcP2S | PBE | optimized geometry

Cell lengths 4.561, 4.561, 5.539 Å; angles 90.00, 90.00, 90.00 degrees
Fractional coordinates of all 5 atoms:
1 Ba 0.000 0.000 0.000
2 Tc 0.500 0.500 0.500
3 P 0.000 0.500 0.500
4 P 0.500 0.000 0.500
5 S 0.500 0.500 0.000

Results
The space-group type is No. 123. Its offset from the most stable computed form is 0.0000 eV/atom.

---

Entry 4:
TlTcAg2 | PBE | optimized geometry

Cell lengths 2.905, 4.174, 6.108 Å; angles 90.00, 90.00, 90.00 degrees
Fractional coordinates of all 4 atoms:
1 Tl 0.000 0.000 0.000
2 Tc 0.500 0.500 0.766
3 Ag 0.000 0.000 0.518
4 Ag 0.500 0.500 0.287

Results
The formation energy is 0.58 eV per atom. The space-group type is No. 25. Its offset from the most stable computed form is 0.0515 eV/atom.

---

Entry 5:
Mg2AlIr2 | PBE | optimized geometry

Cell lengths 7.695, 7.695, 7.695 Å; angles 152.53, 152.53, 39.24 degrees
Fractional coordinates of all 5 atoms:
1 Mg 0.109 0.109 0.000
2 Mg 0.891 0.891 0.000
3 Al 0.500 0.500 0.000
4 Ir 0.250 0.750 0.500
5 Ir 0.750 0.250 0.500

Results
The formation energy is 0.25 eV per atom. The space-group type is No. 139.

---

Entry 6:
Pm3Nd2Sc4 | PBE | optimized geometry

Cell lengths 8.518, 8.518, 6.327 Å; angles 105.66, 105.66, 38.16 degrees
Fractional coordinates of all 9 atoms:
1 Pm 0.000 0.000 0.000
2 Pm 0.128 0.128 0.584
3 Pm 0.872 0.872 0.416
4 Nd 0.355 0.355 0.724
5 Nd 0.645 0.645 0.276
6 Sc 0.235 0.235 0.132
7 Sc 0.441 0.441 0.260
8 Sc 0.559 0.559 0.740
9 Sc 0.765 0.765 0.868

Results
The formation energy is 0.09 eV per atom. The space-group type is No. 12.

---

Copy entry 6 word for word.
Pm3Nd2Sc4 | PBE | optimized geometry

Cell lengths 8.518, 8.518, 6.327 Å; angles 105.66, 105.66, 38.16 degrees
Fractional coordinates of all 9 atoms:
1 Pm 0.000 0.000 0.000
2 Pm 0.128 0.128 0.584
3 Pm 0.872 0.872 0.416
4 Nd 0.355 0.355 0.724
5 Nd 0.645 0.645 0.276
6 Sc 0.235 0.235 0.132
7 Sc 0.441 0.441 0.260
8 Sc 0.559 0.559 0.740
9 Sc 0.765 0.765 0.868

Results
The formation energy is 0.09 eV per atom. The space-group type is No. 12.

---

Please write out number 4 again, unchanged.
TlTcAg2 | PBE | optimized geometry

Cell lengths 2.905, 4.174, 6.108 Å; angles 90.00, 90.00, 90.00 degrees
Fractional coordinates of all 4 atoms:
1 Tl 0.000 0.000 0.000
2 Tc 0.500 0.500 0.766
3 Ag 0.000 0.000 0.518
4 Ag 0.500 0.500 0.287

Results
The formation energy is 0.58 eV per atom. The space-group type is No. 25. Its offset from the most stable computed form is 0.0515 eV/atom.